Record 1
{
  "formula": "La6Ir2PtI2",
  "functional": "PBE",
  "state": "relaxed",
  "formation_energy_uncorrected_ev_per_atom": -0.99,
  "e_tot_ev_per_cell": -67.3,
  "lattice": [[3.709, -6.422, 0.000], [3.709, 6.422, 0.000], [-2.448, 0.000, 8.124]],
  "species": ["La", "La", "La", "La", "La", "La", "Ir", "Ir", "Pt", "I", "I"],
  "fractional_positions": [[0.096, 0.435, 0.812], [0.219, 0.219, 0.186], [0.435, 0.096, 0.812], [0.565, 0.904, 0.188], [0.781, 0.781, 0.814], [0.904, 0.565, 0.188], [0.169, 0.831, 0.000], [0.831, 0.169, 0.000], [0.500, 0.500, 0.000], [0.335, 0.665, 0.500], [0.665, 0.335, 0.500]]
}

Record 2
{
  "formula": "Pm4PrHo8",
  "functional": "PBE",
  "state": "relaxed",
  "e_tot_ev_per_cell": -57.9,
  "delta_e_f_ev_per_atom": 0.19,
  "lattice": [[3.694, 2.133, 9.009], [-3.694, 2.133, 9.009], [0.000, -4.265, 9.009]],
  "species": ["Pm", "Pm", "Pm", "Pm", "Pr", "Ho", "Ho", "Ho", "Ho", "Ho", "Ho", "Ho", "Ho"],
  "fractional_positions": [[0.000, 0.000, 0.000], [0.000, 0.500, 0.500], [0.500, 0.000, 0.500], [0.500, 0.500, 0.000], [0.500, 0.500, 0.500], [0.189, 0.750, 0.750], [0.219, 0.219, 0.219], [0.250, 0.250, 0.811], [0.250, 0.811, 0.250], [0.750, 0.189, 0.750], [0.750, 0.750, 0.189], [0.781, 0.781, 0.781], [0.811, 0.250, 0.250]]
}